Entry 1:
YZn2 | PBEsol | optimized geometry

Results
formation enthalpy at 0 K: -0.368 eV/atom
total DFT energy (no corrections): -22.18 eV/cell

a = 5.3696 Å, b = 5.3696 Å, c = 5.3696 Å
α = 60.00°, β = 60.00°, γ = 60.00°
Last column: nearest neighbours and their distance in Å.
Atoms (fractional coordinates):
Y: 0.2500 0.2500 0.2500  12 Zn 3.15, 4 Y 3.29
Zn: 0.6250 0.1250 0.6250  6 Zn 2.68
Y: 0.0000 0.0000 0.0000  12 Zn 3.15, 4 Y 3.29
Zn: 0.1250 0.6250 0.6250  6 Zn 2.68
Zn: 0.6250 0.6250 0.1250  6 Zn 2.68
Zn: 0.6250 0.6250 0.6250  6 Zn 2.68

Entry 2:
Al2CrRh | PBEsol | optimized geometry

Results
offset from the most stable computed form: 288.2 meV per atom
formation enthalpy at 0 K: -0.227 eV/atom
total DFT energy (no corrections): -27.47 eV/cell

a = 2.7373 Å, b = 2.7373 Å, c = 7.3793 Å
α = 90.00°, β = 90.00°, γ = 90.00°
Last column: nearest neighbours and their distance in Å.
Atoms (fractional coordinates):
Al: 0.0000 0.0000 0.9717  4 Rh 2.60, 4 Al 2.74
Cr: 0.0000 0.0000 0.5140  4 Rh 2.54, 4 Al 2.61, 4 Cr 2.74
Al: 0.5000 0.5000 0.2776  4 Cr 2.61, 4 Al 2.74
Rh: 0.5000 0.5000 0.7367  4 Cr 2.54, 4 Al 2.60, 4 Rh 2.74

Entry 3:
V2FeCu3O6 | PBEsol | optimized geometry

Results
total DFT energy (no corrections): -89.35 eV/cell
formation energy from raw total energies: -1.385 eV/atom

a = 2.8225 Å, b = 6.1586 Å, c = 7.2322 Å
α = 79.82°, β = 78.75°, γ = 76.75°
Last column: nearest neighbours and their distance in Å.
Atoms (fractional coordinates):
O: 0.5294 0.3174 0.6238  1 Cu 1.85, 2 Fe 1.92, 1 V 1.92
O: 0.1374 0.6878 0.0374  1 Cu 1.85, 3 V 1.98-1.99
O: 0.8626 0.3122 0.9626  1 Cu 1.85, 3 V 1.98-1.99
Cu: 0.0000 0.0000 0.0000  2 O 1.85
Cu: 0.6680 0.0055 0.6584  2 O 1.85
O: 0.4706 0.6826 0.3762  1 Cu 1.85, 2 Fe 1.92, 1 V 1.92
V: 0.3365 0.5019 0.8252  6 O 1.92-1.99
O: 0.8044 0.6936 0.6976  1 Cu 1.85, 1 Fe 1.94, 2 V 1.96
Cu: 0.3320 0.9945 0.3416  2 O 1.85
Fe: 0.0000 0.5000 0.5000  6 O 1.92-1.94
O: 0.1956 0.3064 0.3024  1 Cu 1.85, 1 Fe 1.94, 2 V 1.96
V: 0.6635 0.4981 0.1748  6 O 1.92-1.99

Entry 4:
AgAs2OsBr | PBEsol | optimized geometry

Results
total DFT energy (no corrections): -18.59 eV/cell
formation energy from raw total energies: 1.805 eV/atom

a = 4.8667 Å, b = 4.8667 Å, c = 4.9166 Å
α = 90.00°, β = 90.00°, γ = 90.00°
Last column: nearest neighbours and their distance in Å.
Atoms (fractional coordinates):
Ag: 0.0000 0.0000 0.0000  4 As 2.43, 2 Br 2.46
Br: 0.0000 0.0000 0.5000  2 Ag 2.46
As: 0.0000 0.5000 0.0000  2 Ag 2.43
Os: 0.5000 0.5000 0.5000  4 Br 3.44, 8 As 3.46
As: 0.5000 0.0000 0.0000  2 Ag 2.43